VASP calculation (PBE) on crystalline DyGa3Pd10 at its relaxed geometry.

```
DyGa3Pd10
1.0
0.000 6.214 6.214
6.214 0.000 6.214
6.214 6.214 0.000
Dy Ga Pd
2 6 20
direct
0.250 0.250 0.250
0.750 0.750 0.750
0.228 0.228 0.772
0.228 0.772 0.228
0.228 0.772 0.772
0.772 0.228 0.228
0.772 0.228 0.772
0.772 0.772 0.228
0.121 0.121 0.121
0.121 0.121 0.636
0.121 0.636 0.121
0.156 0.500 0.500
0.156 0.500 0.844
0.156 0.844 0.500
0.364 0.879 0.879
0.500 0.156 0.500
0.500 0.156 0.844
0.500 0.500 0.156
0.500 0.500 0.844
0.500 0.844 0.156
0.500 0.844 0.500
0.636 0.121 0.121
0.844 0.156 0.500
0.844 0.500 0.156
0.844 0.500 0.500
0.879 0.364 0.879
0.879 0.879 0.364
0.879 0.879 0.879
```

Computed properties:
Density in Mg/m³: 9.938
Energy of formation from the pure elements in eV/atom: -0.54